DFT (PBE-GGA) results for crystalline TcRuNO2 at its relaxed geometry.

Formation energy without anion corrections: 2.3 eV per formula unit
Symmetry: No. 123

extended XYZ file:
```
5
Lattice="3.981 0.000 0.000 0.000 3.981 0.000 0.000 0.000 3.766" Properties=species:S:1:pos:R:3 pbc="T T T"
Ru 0.000 0.000 0.000
Tc 1.990 1.990 1.883
O 0.000 1.990 0.000
O 1.990 0.000 0.000
N 0.000 0.000 1.883
```

---

DFT (PBE-GGA) results for crystalline CaSBrN2 at its relaxed geometry.

Formation energy without anion corrections: 6.9 eV per formula unit
Symmetry: No. 123
Offset from the most stable computed form: 0.2175 eV per atom

extended XYZ file:
```
5
Lattice="4.625 0.000 0.000 0.000 4.625 0.000 0.000 0.000 5.709" Properties=species:S:1:pos:R:3 pbc="T T T"
Ca 0.000 0.000 0.000
S 0.000 0.000 2.854
Br 2.313 2.313 2.854
N 0.000 2.313 0.000
N 2.313 0.000 0.000
```

---

DFT (PBE-GGA) results for crystalline Tb4PrY15 at its relaxed geometry.

Formation energy from the elements: 0.02 eV per atom
Symmetry: No. 123

extended XYZ file:
```
20
Lattice="5.058 0.000 0.000 0.000 5.058 0.000 0.000 0.000 25.275" Properties=species:S:1:pos:R:3 pbc="T T T"
Tb 0.000 0.000 5.080
Tb 0.000 0.000 10.120
Tb 0.000 0.000 15.155
Tb 0.000 0.000 20.195
Pr 0.000 0.000 0.000
Y 2.529 2.529 0.000
Y 2.529 2.529 5.090
Y 2.529 2.529 10.119
Y 2.529 2.529 15.156
Y 2.529 2.529 20.185
Y 2.529 0.000 2.567
Y 2.529 0.000 7.602
Y 2.529 0.000 12.637
Y 2.529 0.000 17.673
Y 2.529 0.000 22.707
Y 0.000 2.529 2.567
Y 0.000 2.529 7.602
Y 0.000 2.529 12.637
Y 0.000 2.529 17.673
Y 0.000 2.529 22.707
```

---

DFT (PBE-GGA) results for crystalline Pr2PuPd3 at its relaxed geometry.

Formation energy from the elements: -0.52 eV per atom
Symmetry: No. 15

extended XYZ file:
```
12
Lattice="-1.926 5.048 -2.444 -7.965 -2.930 0.225 2.203 0.672 6.845" Properties=species:S:1:pos:R:3 pbc="T T T"
Pr -5.198 1.887 0.797
Pr -1.215 3.350 0.686
Pr -6.473 -0.560 3.940
Pr -2.489 0.902 3.829
Pu -7.897 2.844 -2.272
Pu -1.993 -0.727 0.053
Pd -2.957 1.798 -1.169
Pd -6.934 0.320 -1.050
Pd -0.239 0.784 1.812
Pd -3.465 3.468 2.703
Pd -4.223 -0.678 1.923
Pd -7.448 2.005 2.814
```

---

DFT (PBE-GGA) results for crystalline AcScPtI at its relaxed geometry.

Formation energy without anion corrections: -4.6 eV per formula unit
Symmetry: No. 166

extended XYZ file:
```
8
Lattice="-3.228 2.603 -1.544 -4.200 -1.392 0.091 -4.303 6.873 14.239" Properties=species:S:1:pos:R:3 pbc="T T T"
Ac -3.875 5.355 10.786
Ac -7.856 2.728 1.999
Sc -9.143 7.282 12.364
Sc -2.588 0.801 0.420
Pt -5.164 1.558 0.739
Pt -6.567 6.525 12.045
I -8.564 5.235 7.706
I -3.166 2.848 5.079
```

---

DFT (PBE-GGA) results for crystalline PrUMn2 at its relaxed geometry.

Formation energy from the elements: 0.19 eV per atom
Symmetry: No. 123

extended XYZ file:
```
4
Lattice="3.291 0.000 0.000 0.000 3.291 0.000 0.000 0.000 7.253" Properties=species:S:1:pos:R:3 pbc="T T T"
Pr 1.645 1.645 3.627
Mn 0.000 0.000 5.942
Mn 0.000 0.000 1.311
U 1.645 1.645 0.000
```

---

DFT (PBE-GGA) results for crystalline FeReBr2 at its relaxed geometry.

Formation energy without anion corrections: 5.6 eV per formula unit
Symmetry: No. 119
Offset from the most stable computed form: 1.0956 eV per atom

extended XYZ file:
```
4
Lattice="6.346 -0.005 0.000 4.172 4.782 0.000 -5.259 -2.388 2.629" Properties=species:S:1:pos:R:3 pbc="T T T"
Br 0.000 0.000 0.000
Br 2.086 2.391 1.314
Fe 5.259 2.388 0.000
Re 3.173 -0.003 1.314
```